# CsHgGe3 PBE-GGA optimized geometry
# - theoretical density (g/cm³) = 5.4
# - ΔH_f (0 K) (eV/atom) = 0.597
# - final energy (eV/f.u.) = -12.02
# - energy above the lowest structure with this stoichiometry (meV per atom) = 0
data_CsHgGe3
_cell_length_a 5.5179
_cell_length_b 5.5179
_cell_length_c 5.5179
_cell_angle_alpha 90.00
_cell_angle_beta 90.00
_cell_angle_gamma 90.00
_space_group_name_H-M_alt 'P m -3 m'
_space_group_IT_number 221
_space_group_name_Hall '-P 4 2 3'
loop_
_atom_site_label
_atom_site_type_symbol
_atom_site_fract_x
_atom_site_fract_y
_atom_site_fract_z
Cs1 Cs 0.0000 0.0000 0.0000
Hg1 Hg 0.5000 0.5000 0.5000
Ge1 Ge 0.0000 0.5000 0.5000